# Ac3Pm2Pr4 | the Alexandria database | GGA-PBE | optimized geometry
# Density: 7.34 Mg/m³
# Formation enthalpy at 0 K: 0.028 eV per atom
data_Ac3Pm2Pr4
_cell_length_a 5.3360
_cell_length_b 8.5160
_cell_length_c 8.4933
_cell_angle_alpha 107.68
_cell_angle_beta 108.31
_cell_angle_gamma 90.00
_space_group_name_H-M_alt 'P 1'
_space_group_IT_number 1
loop_
_space_group_symop_operation_xyz
'x,y,z'
loop_
_atom_site_label
_atom_site_fract_x
_atom_site_fract_y
_atom_site_fract_z
Ac1 0.8870 0.3334 0.7741
Pr1 0.2207 0.3310 0.4415
Pr2 0.5579 0.3319 0.1159
Ac2 0.0000 0.0000 0.0000
Ac3 0.1130 0.6666 0.2259
Pm1 0.6688 0.0004 0.3376
Pr3 0.7793 0.6690 0.5585
Pm2 0.3312 0.9996 0.6624
Pr4 0.4421 0.6681 0.8841

# CuHgSbI2 | the Alexandria database | GGA-PBE | optimized geometry
# Density: 6.65 Mg/m³
# Relative energy among the computed polymorphs: 0.000 eV per atom
# ΔE_f (raw): 0.2832 eV/atom
data_CuHgSbI2
_cell_length_a 5.6347
_cell_length_b 5.6347
_cell_length_c 5.0346
_cell_angle_alpha 90.00
_cell_angle_beta 90.00
_cell_angle_gamma 90.00
_space_group_name_H-M_alt 'P 1'
_space_group_IT_number 1
loop_
_space_group_symop_operation_xyz
'x,y,z'
loop_
_atom_site_label
_atom_site_fract_x
_atom_site_fract_y
_atom_site_fract_z
Cu1 0.0000 0.0000 0.0000
Hg1 0.5000 0.5000 0.5000
I1 0.0000 0.5000 0.0000
I2 0.5000 0.0000 0.0000
Sb1 0.0000 0.0000 0.5000